No. 1
The following is a PBE calculation of a relaxed Re4HgSe7 crystal, from Alexandria via LeMat-Bulk.

Lattice parameters (Å, degrees): 4.7076 7.8547 14.8240 90.00 90.00 90.00
Fractional positions:
Re 0.0000 0.2245 0.0000
Re 0.0000 0.2263 0.4796
Re 0.0000 0.7447 0.8816
Re 0.0000 0.7461 0.5982
Re 0.5000 0.2539 0.0982
Re 0.5000 0.2553 0.3816
Re 0.5000 0.7737 0.9796
Re 0.5000 0.7755 0.5000
Hg 0.0000 0.8014 0.2399
Hg 0.5000 0.1986 0.7399
Se 0.0000 0.3812 0.1345
Se 0.0000 0.3826 0.3450
Se 0.0000 0.4126 0.8752
Se 0.0000 0.4142 0.6045
Se 0.0000 0.8941 0.0272
Se 0.0000 0.8959 0.4527
Se 0.0000 0.9038 0.7401
Se 0.5000 0.0962 0.2401
Se 0.5000 0.1041 0.9527
Se 0.5000 0.1059 0.5272
Se 0.5000 0.5858 0.1045
Se 0.5000 0.5874 0.3752
Se 0.5000 0.6174 0.8450
Se 0.5000 0.6188 0.6345

## Properties
DFT total energy: -143.61 eV/cell
Energy relative to the elements, uncorrected: 21.5 kJ per mole of atoms
Crystal system: orthorhombic

No. 2
The following is a PBE calculation of a relaxed ReHgSe2 crystal, from Alexandria via LeMat-Bulk.

Lattice parameters (Å, degrees): 6.7808 6.7808 6.7808 90.00 90.00 90.00
Fractional positions:
Re 0.0000 0.0000 0.0000
Re 0.0000 0.5000 0.5000
Re 0.5000 0.0000 0.5000
Re 0.5000 0.5000 0.0000
Hg 0.2500 0.2500 0.7500
Hg 0.2500 0.7500 0.2500
Hg 0.7500 0.2500 0.2500
Hg 0.7500 0.7500 0.7500
Se 0.0000 0.0000 0.5000
Se 0.0000 0.5000 0.0000
Se 0.2500 0.2500 0.2500
Se 0.2500 0.7500 0.7500
Se 0.5000 0.0000 0.0000
Se 0.5000 0.5000 0.5000
Se 0.7500 0.2500 0.7500
Se 0.7500 0.7500 0.2500

## Properties
DFT total energy: -60.39 eV/cell
Energy relative to the elements, uncorrected: 111.5 kJ per mole of atoms
Crystal system: cubic

No. 3
The following is a PBE calculation of a relaxed TlReHgSe2 crystal, from Alexandria via LeMat-Bulk.

Lattice parameters (Å, degrees): 5.4240 5.4240 5.6887 90.00 90.00 90.00
Fractional positions:
Tl 0.0000 0.0000 0.0000
Re 0.5000 0.5000 0.5000
Hg 0.0000 0.0000 0.5000
Se 0.0000 0.5000 0.0000
Se 0.5000 0.0000 0.0000

## Properties
DFT total energy: -14.32 eV/cell
Energy relative to the elements, uncorrected: 149.8 kJ per mole of atoms
Crystal system: tetragonal

No. 4
The following is a PBE calculation of a relaxed ReSiHg2 crystal, from Alexandria via LeMat-Bulk.

Lattice parameters (Å, degrees): 5.1056 5.1056 2.8702 90.00 90.00 90.00
Fractional positions:
Re 0.0000 0.0000 0.0000
Si 0.5000 0.5000 0.0000
Hg 0.0000 0.5000 0.5000
Hg 0.5000 0.0000 0.5000

## Properties
DFT total energy: -14.51 eV/cell
Energy relative to the elements, uncorrected: 95.7 kJ per mole of atoms
Crystal system: tetragonal

No. 5
The following is a PBE calculation of a relaxed ReSiHg2 crystal, from Alexandria via LeMat-Bulk.

Lattice parameters (Å, degrees): 7.7325 7.7325 5.2361 90.00 90.00 90.00
Fractional positions:
Re 0.0000 0.0000 0.0000
Re 0.0000 0.5000 0.2500
Re 0.5000 0.0000 0.7500
Re 0.5000 0.5000 0.5000
Si 0.0000 0.0000 0.5000
Si 0.0000 0.5000 0.7500
Si 0.5000 0.0000 0.2500
Si 0.5000 0.5000 0.0000
Hg 0.2396 0.7500 0.6250
Hg 0.2500 0.2396 0.3750
Hg 0.2500 0.2604 0.8750
Hg 0.2604 0.7500 0.1250
Hg 0.7396 0.2500 0.1250
Hg 0.7500 0.7396 0.8750
Hg 0.7500 0.7604 0.3750
Hg 0.7604 0.2500 0.6250

## Properties
DFT total energy: -57.36 eV/cell
Energy relative to the elements, uncorrected: 99.7 kJ per mole of atoms
Crystal system: tetragonal

No. 6
The following is a PBE calculation of a relaxed ReSiHg crystal, from Alexandria via LeMat-Bulk.

Lattice parameters (Å, degrees): 3.0060 3.0060 6.5709 90.00 90.00 120.00
Fractional positions:
Re 0.0000 0.0000 0.0000
Si 0.6667 0.3333 0.2617
Hg 0.3333 0.6667 0.6270

## Properties
Energy above the lowest structure with this stoichiometry: 57 meV/atom
DFT total energy: -16.71 eV/cell
Energy relative to the elements, uncorrected: 47.1 kJ per mole of atoms
Crystal system: trigonal

No. 7
The following is a PBE calculation of a relaxed ReSiHg2 crystal, from Alexandria via LeMat-Bulk.

Lattice parameters (Å, degrees): 7.1395 4.1232 5.8776 90.00 113.98 90.00
Fractional positions:
Re 0.0000 0.0000 0.0000
Re 0.5000 0.5000 0.0000
Si 0.3511 0.0000 0.0529
Si 0.8511 0.5000 0.0529
Hg 0.0613 0.5000 0.6847
Hg 0.2885 0.5000 0.3660
Hg 0.5613 0.0000 0.6847
Hg 0.7885 0.0000 0.3660

## Properties
DFT total energy: -32.99 eV/cell
Energy relative to the elements, uncorrected: 47.7 kJ per mole of atoms
Crystal system: monoclinic

No. 8
The following is a PBE calculation of a relaxed ReSiHg2 crystal, from Alexandria via LeMat-Bulk.

Lattice parameters (Å, degrees): 2.8071 5.0874 10.6739 90.00 90.00 90.00
Fractional positions:
Re 0.0000 0.0000 0.0000
Re 0.5000 0.5000 0.0000
Si 0.0000 0.0000 0.5000
Si 0.5000 0.5000 0.5000
Hg 0.0000 0.5000 0.2413
Hg 0.0000 0.5000 0.7587
Hg 0.5000 0.0000 0.2413
Hg 0.5000 0.0000 0.7587

## Properties
DFT total energy: -30.21 eV/cell
Energy relative to the elements, uncorrected: 81.2 kJ per mole of atoms
Crystal system: orthorhombic

No. 9
The following is a PBE calculation of a relaxed ReSi2Hg crystal, from Alexandria via LeMat-Bulk.

Lattice parameters (Å, degrees): 3.2071 4.6696 10.1746 90.00 90.00 90.00
Fractional positions:
Re 0.0000 0.0000 0.0000
Re 0.5000 0.5000 0.0000
Si 0.0000 0.5000 0.1875
Si 0.0000 0.5000 0.8125
Si 0.5000 0.0000 0.1875
Si 0.5000 0.0000 0.8125
Hg 0.0000 0.0000 0.5000
Hg 0.5000 0.5000 0.5000

## Properties
DFT total energy: -44.01 eV/cell
Energy relative to the elements, uncorrected: 38.4 kJ per mole of atoms
Crystal system: orthorhombic

No. 10
The following is a PBE calculation of a relaxed ReSiHg2 crystal, from Alexandria via LeMat-Bulk.

Lattice parameters (Å, degrees): 2.8870 3.8651 7.2492 90.00 90.00 90.00
Fractional positions:
Re 0.0000 0.0000 0.0000
Si 0.5000 0.5000 0.0522
Hg 0.0000 0.0000 0.3930
Hg 0.5000 0.5000 0.6732

## Properties
DFT total energy: -16.78 eV/cell
Energy relative to the elements, uncorrected: 40.9 kJ per mole of atoms
Crystal system: orthorhombic

No. 11
The following is a PBE calculation of a relaxed ReSiHg crystal, from Alexandria via LeMat-Bulk.

Lattice parameters (Å, degrees): 3.0385 4.5717 16.9795 90.00 90.00 90.00
Fractional positions:
Re 0.0000 0.0000 0.0000
Re 0.0000 0.5000 0.5000
Re 0.5000 0.0000 0.5000
Re 0.5000 0.5000 0.0000
Si 0.0000 0.0000 0.6156
Si 0.0000 0.5000 0.1156
Si 0.5000 0.0000 0.1156
Si 0.5000 0.5000 0.6156
Hg 0.0000 0.0000 0.3361
Hg 0.0000 0.5000 0.8361
Hg 0.5000 0.0000 0.8361
Hg 0.5000 0.5000 0.3361

## Properties
Energy above the lowest structure with this stoichiometry: 157 meV/atom
DFT total energy: -65.64 eV/cell
Energy relative to the elements, uncorrected: 56.7 kJ per mole of atoms
Crystal system: orthorhombic

No. 12
The following is a PBE calculation of a relaxed Re2SiHg crystal, from Alexandria via LeMat-Bulk.

Lattice parameters (Å, degrees): 2.8711 2.8711 27.7383 90.00 90.00 120.00
Fractional positions:
Re 0.0000 0.0000 0.0000
Re 0.0000 0.0000 0.2594
Re 0.3333 0.6667 0.6667
Re 0.3333 0.6667 0.9260
Re 0.6667 0.3333 0.3333
Re 0.6667 0.3333 0.5927
Si 0.0000 0.0000 0.5189
Si 0.3333 0.6667 0.1855
Si 0.6667 0.3333 0.8522
Hg 0.0000 0.0000 0.7588
Hg 0.3333 0.6667 0.4255
Hg 0.6667 0.3333 0.0921

## Properties
Energy above the lowest structure with this stoichiometry: 0 meV/atom
DFT total energy: -88.32 eV/cell
Energy relative to the elements, uncorrected: 28.5 kJ per mole of atoms
Crystal system: trigonal